Material: Sc2MnSn
Method: DFT, PBE
State: relaxed

DOS(E_F) = 3.57 states/eV/f.u.
uncorrected energy = -106.2 eV per cell
V = 19.04 Å³/atom

Cell lengths 6.729, 6.729, 6.729 Å; angles 90.00, 90.00, 90.00 degrees
Space group F-43m (No. 216)
One atom of each set of equivalent atoms:
Sc  0.000  0.000  0.000 [4 per cell]
Sc  0.250  0.250  0.250 [4 per cell]
Mn  0.250  0.250  0.750 [4 per cell]
Sn  0.000  0.000  0.500 [4 per cell]